{"formula": "HgSbTe2Pb", "functional": "PBE", "state": "relaxed", "polymorph_energy_mev_per_atom": 0, "space_group": "P4/mmm (123)", "formation_energy_uncorrected_ev_per_atom": 0.472, "m_tot_mub_per_cell": 0.00, "lattice": [[5.6569, 0.0000, 0.0000], [0.0000, 5.6569, 0.0000], [0.0000, 0.0000, 5.5286]], "species": ["Hg", "Sb", "Te", "Te", "Pb"], "frac_coords": [[0.0000, 0.0000, 0.0000], [0.0000, 0.0000, 0.5000], [0.0000, 0.5000, 0.0000], [0.5000, 0.0000, 0.0000], [0.5000, 0.5000, 0.5000]]}